DFT (PBE) results for a relaxed structure of LiTcSb.

Its formation energy without anion corrections is -0.180 eV/atom. As for the uncorrected energy: -0.4150 Ry/atom. The value obtained for the volume is 114.12 Å³/cell. The energy relative to the lowest polymorph listed for this composition comes out at 0 meV/atom. Its crystal system is tetragonal. The value obtained for the density is 6.598 g/cm³.

The structure belongs to space group P4/nmm (No. 129, origin choice 2); the cell edges are 4.0960, 4.0960 and 6.8018 Å and the angles 90.00°, 90.00° and 90.00°. Symmetry generates all atoms from Li at (0.2500, 0.2500, 0.1841), Tc at (0.2500, 0.7500, 0.5000) and Sb at (0.2500, 0.2500, 0.7595).

=====

DFT (PBE) results for a relaxed structure of VTe2Os.

Its formation energy without anion corrections is 0.558 eV/atom. As for the uncorrected energy: -0.4483 Ry/atom. The value obtained for the volume is 241.95 Å³/cell. The energy relative to the lowest polymorph listed for this composition comes out at 70 meV/atom. Its crystal system is trigonal. The value obtained for the density is 10.220 g/cm³.

The structure belongs to space group R-3m (No. 166, hexagonal axes); the cell edges are 3.2553, 3.2553 and 26.3637 Å and the angles 90.00°, 90.00° and 120.00°. Symmetry generates all atoms from V at (0.0000, 0.0000, 0.0000), Te at (0.0000, 0.0000, 0.4041) and Os at (0.0000, 0.0000, 0.5000).

=====

DFT (PBE) results for a relaxed structure of TlAs2Pd7.

As for the uncorrected energy: -0.3604 Ry/atom. The energy relative to the elements is -0.102 eV per atom. The value obtained for the volume is 399.84 Å³/cell. The energy relative to the lowest polymorph listed for this composition comes out at 223 meV/atom. Its crystal system is orthorhombic. The value obtained for the density is 9.130 g/cm³.

The structure belongs to space group Cmmm (No. 65); the cell edges are 7.4239, 12.0920 and 4.4541 Å and the angles 90.00°, 90.00° and 90.00°. Symmetry generates all atoms from Tl at (0.0000, 0.0000, 0.0000), As at (0.0000, 0.3042, 0.5000), Pd at (0.0000, 0.2280, 0.0000), Pd at (0.0000, 0.5000, 0.5000) and Pd at (0.1870, 0.1220, 0.5000).

=====

DFT (PBE) results for a relaxed structure of TmTiV.

As for the uncorrected energy: -0.5117 Ry/atom. The energy relative to the elements is 0.200 eV per atom. The value obtained for the volume is 243.83 Å³/cell. Its crystal system is tetragonal. The value obtained for the density is 7.294 g/cm³.

The structure belongs to space group I4/mmm (No. 139); the cell edges are 3.1130, 3.1130 and 25.1608 Å and the angles 90.00°, 90.00° and 90.00°. Symmetry generates all atoms from Tm at (0.0000, 0.0000, 0.0676), Ti at (0.0000, 0.0000, 0.3399) and V at (0.0000, 0.0000, 0.2238).

=====

DFT (PBE) results for a relaxed structure of KRuBr2.

Its formation energy without anion corrections is -0.063 eV/atom. As for the uncorrected energy: -0.2567 Ry/atom. The value obtained for the volume is 453.10 Å³/cell. The energy relative to the lowest polymorph listed for this composition comes out at 227 meV/atom. Its crystal system is trigonal. The value obtained for the density is 3.298 g/cm³.

The structure belongs to space group R-3m (No. 166, hexagonal axes); the cell edges are 4.4498, 4.4498 and 26.4225 Å and the angles 90.00°, 90.00° and 120.00°. Symmetry generates all atoms from K at (0.0000, 0.0000, 0.0000), Ru at (0.0000, 0.0000, 0.5000) and Br at (0.0000, 0.0000, 0.4069).

=====

DFT (PBE) results for a relaxed structure of Rb2LaMgCd.

As for the uncorrected energy: -0.0837 Ry/atom. The energy relative to the elements is 0.735 eV per atom. The value obtained for the volume is 191.10 Å³/cell. Its crystal system is tetragonal. The value obtained for the density is 3.880 g/cm³.

The structure belongs to space group P4/mmm (No. 123); the cell edges are 6.1040, 6.1040 and 5.1290 Å and the angles 90.00°, 90.00° and 90.00°. Symmetry generates all atoms from Rb at (0.0000, 0.5000, 0.0000), La at (0.0000, 0.0000, 0.5000), Mg at (0.5000, 0.5000, 0.0000) and Cd at (0.5000, 0.5000, 0.5000).

=====

DFT (PBE) results for a relaxed structure of Nd6Si2SeI3.

Its formation energy without anion corrections is -1.124 eV/atom. As for the uncorrected energy: -0.3741 Ry/atom. The value obtained for the volume is 747.21 Å³/cell. Its crystal system is monoclinic. The value obtained for the density is 6.139 g/cm³.

The structure belongs to space group C2/m (No. 12); the cell edges are 7.4801, 12.9565 and 8.1028 Å and the angles 90.00°, 107.92° and 90.00°. Symmetry generates all atoms from Nd at (0.2233, 0.0000, 0.1945), Nd at (0.2357, 0.3293, 0.1948), Si at (0.0000, 0.1667, 0.0000), Se at (0.0000, 0.5000, 0.0000), I at (0.0000, 0.0000, 0.5000) and I at (0.0000, 0.3332, 0.5000).

=====

DFT (PBE) results for a relaxed structure of Ce2Ho3ThP6.

As for the uncorrected energy: -0.5167 Ry/atom. The energy relative to the elements is -1.574 eV per atom. The value obtained for the volume is 563.29 Å³/cell. Its crystal system is monoclinic. The value obtained for the density is 7.033 g/cm³.

The structure belongs to space group C2/m (No. 12); the cell edges are 7.0235, 12.1689 and 6.9943 Å and the angles 90.00°, 109.56° and 90.00°. Symmetry generates all atoms from Ce at (0.0000, 0.1667, 0.0000), Ho at (0.0000, 0.0000, 0.5000), Ho at (0.0000, 0.3335, 0.5000), Th at (0.0000, 0.5000, 0.0000), P at (0.2471, 0.1675, 0.7439) and P at (0.2504, 0.0000, 0.2562).

=====

DFT (PBE) results for a relaxed structure of MnFeBP.

As for the uncorrected energy: -0.5558 Ry/atom. The energy relative to the elements is -0.132 eV per atom. The value obtained for the volume is 80.28 Å³/cell. The energy relative to the lowest polymorph listed for this composition comes out at 176 meV/atom. Its crystal system is monoclinic. The value obtained for the density is 6.311 g/cm³.

The structure belongs to space group Cm (No. 8); the cell edges are 7.6886, 2.7245 and 3.9980 Å and the angles 90.00°, 106.55° and 90.00°. Symmetry generates all atoms from Mn at (0.0000, 0.0000, 0.0000), Fe at (0.2578, 0.5000, 0.4052), B at (0.2033, 0.5000, 0.8862) and P at (0.4881, 0.0000, 0.4898).

=====

DFT (PBE) results for a relaxed structure of AcErTmSn.

As for the uncorrected energy: -0.3241 Ry/atom. The energy relative to the elements is -0.123 eV per atom. The value obtained for the volume is 473.38 Å³/cell. Its crystal system is cubic. The value obtained for the density is 9.568 g/cm³.

The structure belongs to space group F-43m (No. 216); the cell edges are 7.7936, 7.7936 and 7.7936 Å and the angles 90.00°, 90.00° and 90.00°. Symmetry generates all atoms from Ac at (0.0000, 0.0000, 0.0000), Er at (0.2500, 0.2500, 0.2500), Tm at (0.2500, 0.2500, 0.7500) and Sn at (0.0000, 0.0000, 0.5000).

=====

DFT (PBE) results for a relaxed structure of Sc8Fe.

As for the uncorrected energy: -0.4745 Ry/atom. The energy relative to the elements is 0.112 eV per atom. The value obtained for the volume is 407.30 Å³/cell. Its crystal system is tetragonal. The value obtained for the density is 3.388 g/cm³.

The structure belongs to space group I4/mmm (No. 139); the cell edges are 9.4871, 9.4871 and 4.5253 Å and the angles 90.00°, 90.00° and 90.00°. Symmetry generates all atoms from Sc at (0.0000, 0.3220, 0.0000), Sc at (0.1577, 0.1577, 0.5000) and Fe at (0.0000, 0.0000, 0.0000).

=====

DFT (PBE) results for a relaxed structure of CaOsSe2.

Its formation energy without anion corrections is -0.593 eV/atom. As for the uncorrected energy: -0.4147 Ry/atom. The value obtained for the volume is 251.18 Å³/cell. The energy relative to the lowest polymorph listed for this composition comes out at 44 meV/atom. Its crystal system is trigonal. The value obtained for the density is 7.700 g/cm³.

The structure belongs to space group R3m (No. 160, hexagonal axes); the cell edges are 4.0102, 4.0102 and 18.0352 Å and the angles 90.00°, 90.00° and 120.00°. Symmetry generates all atoms from Ca at (0.0000, 0.0000, 0.0000), Os at (0.0000, 0.0000, 0.1788), Se at (0.0000, 0.0000, 0.5690) and Se at (0.0000, 0.0000, 0.7791).

=====

DFT (PBE) results for a relaxed structure of LiTcPt.

As for the uncorrected energy: -0.4592 Ry/atom. The energy relative to the elements is -0.141 eV per atom. The value obtained for the volume is 83.48 Å³/cell. The energy relative to the lowest polymorph listed for this composition comes out at 99 meV/atom. Its crystal system is trigonal. The value obtained for the density is 11.936 g/cm³.

The structure belongs to space group P3m1 (No. 156); the cell edges are 4.2183, 4.2183 and 5.4173 Å and the angles 90.00°, 90.00° and 120.00°. Symmetry generates all atoms from Li at (0.0000, 0.0000, 0.0000), Li at (0.3333, 0.6667, 0.6861), Tc at (0.3333, 0.6667, 0.1938), Tc at (0.6667, 0.3333, 0.3258), Pt at (0.0000, 0.0000, 0.5146) and Pt at (0.6667, 0.3333, 0.8435).

=====

DFT (PBE) results for a relaxed structure of Zr2TiHW.

As for the uncorrected energy: -0.6068 Ry/atom. The value obtained for the volume is 79.50 Å³/cell. Its crystal system is tetragonal. The value obtained for the density is 8.672 g/cm³.

The structure belongs to space group P4/mmm (No. 123); the cell edges are 4.6557, 4.6557 and 3.6678 Å and the angles 90.00°, 90.00° and 90.00°. Symmetry generates all atoms from Zr at (0.0000, 0.5000, 0.0000), Ti at (0.0000, 0.0000, 0.5000), H at (0.0000, 0.0000, 0.0000) and W at (0.5000, 0.5000, 0.5000).

=====

DFT (PBE) results for a relaxed structure of FeSbAsSe2.

Its formation energy without anion corrections is 0.317 eV/atom. As for the uncorrected energy: -0.3325 Ry/atom. The value obtained for the volume is 106.89 Å³/cell. The energy relative to the lowest polymorph listed for this composition comes out at 0 meV/atom. Its crystal system is tetragonal. The value obtained for the density is 6.376 g/cm³.

The structure belongs to space group P4/mmm (No. 123); the cell edges are 4.8485, 4.8485 and 4.5471 Å and the angles 90.00°, 90.00° and 90.00°. Symmetry generates all atoms from Fe at (0.0000, 0.0000, 0.0000), Sb at (0.5000, 0.5000, 0.5000), As at (0.0000, 0.0000, 0.5000) and Se at (0.0000, 0.5000, 0.0000).

=====

DFT (PBE) results for a relaxed structure of ThReW.

As for the uncorrected energy: -0.7631 Ry/atom. The energy relative to the elements is 0.558 eV per atom. The value obtained for the volume is 980.67 Å³/cell. Its crystal system is orthorhombic. The value obtained for the density is 16.312 g/cm³.

The structure belongs to space group Fddd (No. 70, origin choice 2); the cell edges are 5.3623, 9.3675 and 19.5232 Å and the angles 90.00°, 90.00° and 90.00°. Symmetry generates all atoms from Th at (0.1250, 0.2981, 0.1250), Re at (0.1250, 0.1250, 0.5603) and W at (0.1250, 0.1250, 0.2507).

=====

DFT (PBE) results for a relaxed structure of Li2YH6.

As for the uncorrected energy: -0.2262 Ry/atom. The value obtained for the volume is 413.86 Å³/cell. Its crystal system is cubic. The value obtained for the density is 1.747 g/cm³.

The structure belongs to space group Fm-3m (No. 225); the cell edges are 7.4522, 7.4522 and 7.4522 Å and the angles 90.00°, 90.00° and 90.00°. Symmetry generates all atoms from Li at (0.2500, 0.2500, 0.2500), Y at (0.0000, 0.0000, 0.0000) and H at (0.0000, 0.0000, 0.2824).

=====

DFT (PBE) results for a relaxed structure of NaTl2Hg2Pb.

As for the uncorrected energy: -0.1253 Ry/atom. The energy relative to the elements is 0.023 eV per atom. The value obtained for the volume is 534.78 Å³/cell. Its crystal system is trigonal. The value obtained for the density is 9.689 g/cm³.

The structure belongs to space group R-3m (No. 166, hexagonal axes); the cell edges are 5.7110, 5.7110 and 18.9330 Å and the angles 90.00°, 90.00° and 120.00°. Symmetry generates all atoms from Na at (0.0000, 0.0000, 0.0000), Tl at (0.0000, 0.0000, 0.3292), Hg at (0.0000, 0.0000, 0.1644) and Pb at (0.0000, 0.0000, 0.5000).

=====

DFT (PBE) results for a relaxed structure of SrVH3.

As for the uncorrected energy: -0.2556 Ry/atom. The value obtained for the volume is 84.85 Å³/cell. The energy relative to the lowest polymorph listed for this composition comes out at 904 meV/atom. Its crystal system is cubic. The value obtained for the density is 2.771 g/cm³.

The structure belongs to space group Pm-3m (No. 221); the cell edges are 4.3942, 4.3942 and 4.3942 Å and the angles 90.00°, 90.00° and 90.00°. Symmetry generates all atoms from Sr at (0.0000, 0.0000, 0.0000), V at (0.5000, 0.5000, 0.5000) and H at (0.0000, 0.0000, 0.5000).

=====

DFT (PBE) results for a relaxed structure of BaTe2S4.

Its formation energy without anion corrections is -0.227 eV/atom. As for the uncorrected energy: -0.2762 Ry/atom. The value obtained for the volume is 500.25 Å³/cell. The energy relative to the lowest polymorph listed for this composition comes out at 306 meV/atom. Its crystal system is tetragonal. The value obtained for the density is 3.457 g/cm³.

The structure belongs to space group I4/m (No. 87); the cell edges are 8.0104, 8.0104 and 7.7963 Å and the angles 90.00°, 90.00° and 90.00°. Symmetry generates all atoms from Ba at (0.0000, 0.0000, 0.0000), Te at (0.0000, 0.5000, 0.2500) and S at (0.1463, 0.3306, 0.5000).